Density functional theory data (PBE) for a relaxed ErNbCoTc crystal.

The space group is F-43m (No. 216) and the conventional cell measures 6.4649, 6.4649 and 6.4649 Å, with angles of 90.00, 90.00 and 90.00 degrees. The asymmetric unit holds Er at (0.0000, 0.0000, 0.0000), Nb at (0.0000, 0.0000, 0.5000), Co at (0.2500, 0.2500, 0.2500) and Tc at (0.2500, 0.2500, 0.7500).

The formation energy is -0.40 eV/f.u. The magnetic moment comes out at 1.49 μB per cell. The value obtained for the density of states at the Fermi level is 0.481 states/eV per atom. The calculation puts the calculated total energy at -130.006 eV per cell.